[1]
Entry from OQMD via LeMat-Bulk: a relaxed NaCuSiSeS2 crystal (PBE).

Values from the calculation:
As for the total DFT energy (no corrections): -24.83 eV per formula unit. As for the space group: Cmcm.

Cell: 6.9069 6.9069 10.0087 Å, 90.00 90.00 151.55°
Atoms (fractional coordinates):
Na 0.2455 0.7545 0.7500
Na 0.7545 0.2455 0.2500
Cu 0.0698 0.9302 0.2500
Cu 0.9302 0.0698 0.7500
Si 0.5000 0.5000 0.0000
Si 0.5000 0.5000 0.5000
Se 0.4355 0.5645 0.2500
Se 0.5645 0.4355 0.7500
S 0.1194 0.8806 0.0383
S 0.1194 0.8806 0.4617
S 0.8806 0.1194 0.5383
S 0.8806 0.1194 0.9617


[2]
Entry from OQMD via LeMat-Bulk: a relaxed NaTaCuSeS2 crystal (PBE).

Values from the calculation:
As for the total DFT energy (no corrections): -33.27 eV per formula unit. As for the space group: Cmcm.

Cell: 7.1005 7.1005 9.6592 Å, 90.00 90.00 151.28°
Atoms (fractional coordinates):
Na 0.2305 0.7695 0.7500
Na 0.7695 0.2305 0.2500
Ta 0.0000 0.0000 0.0000
Ta 0.0000 0.0000 0.5000
Cu 0.4680 0.5320 0.2500
Cu 0.5320 0.4680 0.7500
Se 0.0902 0.9098 0.2500
Se 0.9098 0.0902 0.7500
S 0.3764 0.6236 0.0572
S 0.3764 0.6236 0.4428
S 0.6236 0.3764 0.5572
S 0.6236 0.3764 0.9428


Number 2 is which compound?
NaTaCuSeS2